1.
First-principles (PBEsol) data for an optimized crystal structure of TlCdReI2, as listed in Alexandria via LeMat-Bulk.

Output
Its uncorrected formation energy is 0.66 eV/atom.

Lattice parameters (Å, degrees): 5.3296 5.3454 5.3454 90.00 90.00 90.00
Closest atoms and distances in Å follow each position.
Atoms (fractional coordinates):
Cd 0.5000 0.0000 0.0000  2 Re 2.66
Tl 0.5000 0.5000 0.5000  8 I 3.77, 4 Cd 3.78
I 0.0000 0.0000 0.5000  2 Re 2.67
I 0.0000 0.5000 0.0000  2 Re 2.67
Re 0.0000 0.0000 0.0000  2 Cd 2.66, 4 I 2.67



2.
First-principles (PBEsol) data for an optimized crystal structure of InBIN2, as listed in Alexandria via LeMat-Bulk.

Output
The value obtained for the energy above the most stable polymorph in this dataset is 0.0000 eV/atom. Its uncorrected formation energy is 1.73 eV/atom.

Lattice parameters (Å, degrees): 3.7754 3.7754 5.0018 90.00 90.00 90.00
Closest atoms and distances in Å follow each position.
Atoms (fractional coordinates):
N 0.0000 0.5000 0.0000  2 B 1.89
N 0.5000 0.0000 0.0000  2 B 1.89
B 0.0000 0.0000 0.0000  4 N 1.89
I 0.0000 0.0000 0.5000  2 B 2.50, 4 In 2.67
In 0.5000 0.5000 0.5000  4 I 2.67



3.
First-principles (PBEsol) data for an optimized crystal structure of Cs2NbAsI, as listed in Alexandria via LeMat-Bulk.

Output
Its uncorrected formation energy is 0.82 eV/atom.

Lattice parameters (Å, degrees): 5.3375 6.9981 6.9981 90.00 90.00 90.00
Closest atoms and distances in Å follow each position.
Atoms (fractional coordinates):
I 0.5000 0.0000 0.0000  2 Nb 2.67
As 0.5000 0.5000 0.5000  8 Cs 4.40
Cs 0.0000 0.5000 0.0000  2 Nb 3.50
Nb 0.0000 0.0000 0.0000  2 I 2.67
Cs 0.0000 0.0000 0.5000  2 Nb 3.50



4.
First-principles (PBEsol) data for an optimized crystal structure of ZrTcMo, as listed in Alexandria via LeMat-Bulk.

Output
The value obtained for the energy above the most stable polymorph in this dataset is 0.0000 eV/atom. For the formation energy, the calculation gives -15.6 kJ per mole of atoms.

Lattice parameters (Å, degrees): 3.1723 3.1723 5.4249 107.00 107.00 90.00
Closest atoms and distances in Å follow each position.
Atoms (fractional coordinates):
Tc 0.6580 0.6580 0.3159  4 Mo 2.67, 4 Zr 2.82
Zr 0.3311 0.3311 0.6622  4 Tc 2.82, 4 Mo 2.86
Mo 0.0109 0.0109 0.0219  4 Tc 2.67, 4 Zr 2.86



5.
First-principles (PBEsol) data for an optimized crystal structure of K2BeCr, as listed in Alexandria via LeMat-Bulk.

Output
For the formation energy, the calculation gives 100.7 kJ per mole of atoms.

Lattice parameters (Å, degrees): 3.8822 5.7930 6.6179 115.96 107.06 90.00
Closest atoms and distances in Å follow each position.
Atoms (fractional coordinates):
K 0.9801 0.9801 0.9602  4 Be 3.60, 6 K 3.63-3.95, 4 Cr 3.63-3.94
Be 0.5588 0.5588 0.1176  2 Cr 2.34
K 0.7859 0.2859 0.5718  6 K 3.63-3.95, 4 Be 3.63-3.86, 4 Cr 3.70
Cr 0.1752 0.6752 0.3504  2 Be 2.34



6.
First-principles (PBEsol) data for an optimized crystal structure of MnNiHg2N, as listed in Alexandria via LeMat-Bulk.

Output
Its uncorrected formation energy is 1.48 eV/atom.

Lattice parameters (Å, degrees): 4.4873 4.8667 4.8667 90.00 90.00 90.00
Closest atoms and distances in Å follow each position.
Atoms (fractional coordinates):
Hg 0.0000 0.5000 0.0000  2 Ni 2.43
Mn 0.5000 0.0000 0.0000  2 Ni 2.24
Ni 0.0000 0.0000 0.0000  2 Mn 2.24, 4 Hg 2.43
Hg 0.0000 0.0000 0.5000  2 Ni 2.43
N 0.5000 0.5000 0.5000  8 Hg 3.31, 4 Mn 3.44



7.
First-principles (PBEsol) data for an optimized crystal structure of TcPAu2, as listed in Alexandria via LeMat-Bulk.

Output
For the formation energy, the calculation gives 38.5 kJ per mole of atoms.

Lattice parameters (Å, degrees): 4.4171 4.4171 4.4171 60.00 60.00 60.00
Closest atoms and distances in Å follow each position.
Atoms (fractional coordinates):
P 0.5000 0.5000 0.5000  4 Tc 2.70, 4 Au 2.70
Tc 0.7500 0.7500 0.7500  4 P 2.70, 4 Au 2.70
Au 0.0000 0.0000 0.0000  4 Tc 2.70, 4 Au 2.70
Au 0.2500 0.2500 0.2500  4 Au 2.70, 4 P 2.70



8.
First-principles (PBEsol) data for an optimized crystal structure of FeHg2Sb, as listed in Alexandria via LeMat-Bulk.

Output
Its uncorrected formation energy is 0.41 eV/atom.

Lattice parameters (Å, degrees): 3.2192 4.6678 5.4679 90.00 90.00 92.70
Closest atoms and distances in Å follow each position.
Atoms (fractional coordinates):
Fe 0.5000 0.5000 0.5000  4 Sb 2.77-2.90, 4 Hg 3.05
Hg 0.7446 0.7451 0.0000  4 Hg 2.72-2.92
Sb 0.0000 0.0000 0.5000  4 Fe 2.77-2.90, 4 Hg 3.08
Hg 0.2554 0.2549 0.0000  4 Hg 2.72-2.92



9.
First-principles (PBEsol) data for an optimized crystal structure of Na2InCuF7, as listed in Alexandria via LeMat-Bulk.

Output
Its uncorrected formation energy is -2.35 eV/atom.

Lattice parameters (Å, degrees): 7.3591 7.4789 10.2514 90.00 90.00 90.00
Closest atoms and distances in Å follow each position.
Atoms (fractional coordinates):
Na 0.2500 0.2352 0.7636  7 F 2.23-2.47
F 0.4500 0.8286 0.1382  1 Cu 1.95, 1 In 2.15
Na 0.0000 0.0000 0.5000  6 F 2.32-2.45
Na 0.0000 0.5000 0.0000  6 F 2.32-2.45
F 0.0056 0.2185 0.1230  1 Cu 2.06, 1 In 2.15
F 0.7500 0.0068 0.6376  1 In 2.09, 3 Na 2.27-2.32
Cu 0.0000 0.0000 0.0000  6 F 1.95-2.06
F 0.0500 0.6714 0.6382  1 Cu 1.95, 1 In 2.15
F 0.7500 0.0217 0.3469  1 In 2.06, 1 Na 2.23
F 0.0056 0.2815 0.6230  1 Cu 2.06, 1 In 2.15
In 0.7500 0.2603 0.7239  6 F 2.06-2.15
F 0.9944 0.7185 0.3770  1 Cu 2.06, 1 In 2.15
F 0.4944 0.2185 0.1230  1 Cu 2.06, 1 In 2.15
F 0.5500 0.1714 0.8618  1 Cu 1.95, 1 In 2.15
Na 0.7500 0.7648 0.2364  7 F 2.23-2.47
Cu 0.5000 0.5000 0.5000  6 F 1.95-2.06
F 0.5056 0.7185 0.3770  1 Cu 2.06, 1 In 2.15
F 0.7500 0.9994 0.0721  2 Cu 1.98
F 0.9944 0.7815 0.8770  1 Cu 2.06, 1 In 2.15
F 0.7500 0.5006 0.5721  2 Cu 1.98
Na 0.5000 0.5000 0.0000  6 F 2.32-2.45
Na 0.7500 0.7352 0.7364  7 F 2.23-2.47
Na 0.2500 0.2648 0.2636  7 F 2.23-2.47
F 0.9500 0.3286 0.3618  1 Cu 1.95, 1 In 2.15
F 0.5056 0.7815 0.8770  1 Cu 2.06, 1 In 2.15
F 0.0500 0.8286 0.1382  1 Cu 1.95, 1 In 2.15
Cu 0.5000 0.0000 0.0000  6 F 1.95-2.06
In 0.2500 0.7397 0.2761  6 F 2.06-2.15
F 0.2500 0.9932 0.3624  1 In 2.09, 3 Na 2.27-2.32
F 0.7500 0.4783 0.8469  1 In 2.06, 1 Na 2.23
F 0.2500 0.0006 0.9279  2 Cu 1.98
F 0.2500 0.5217 0.1531  1 In 2.06, 1 Na 2.23
F 0.4944 0.2815 0.6230  1 Cu 2.06, 1 In 2.15
F 0.2500 0.9783 0.6531  1 In 2.06, 1 Na 2.23
Cu 0.0000 0.5000 0.5000  6 F 1.95-2.06
In 0.2500 0.7603 0.7761  6 F 2.06-2.15
F 0.9500 0.1714 0.8618  1 Cu 1.95, 1 In 2.15
F 0.7500 0.4932 0.1376  1 In 2.09, 3 Na 2.27-2.32
In 0.7500 0.2397 0.2239  6 F 2.06-2.15
F 0.2500 0.5068 0.8624  1 In 2.09, 3 Na 2.27-2.32
F 0.2500 0.4994 0.4279  2 Cu 1.98
Na 0.5000 0.0000 0.5000  6 F 2.32-2.45
F 0.4500 0.6714 0.6382  1 Cu 1.95, 1 In 2.15
F 0.5500 0.3286 0.3618  1 Cu 1.95, 1 In 2.15



10.
First-principles (PBEsol) data for an optimized crystal structure of KSr2RuAu, as listed in Alexandria via LeMat-Bulk.

Output
For the formation energy, the calculation gives 30.5 kJ per mole of atoms.

Lattice parameters (Å, degrees): 5.1825 5.6393 5.6393 90.00 90.00 90.00
Closest atoms and distances in Å follow each position.
Atoms (fractional coordinates):
K 0.5000 0.5000 0.5000  8 Sr 3.83, 4 Au 3.99
Sr 0.0000 0.0000 0.5000  2 Ru 2.82
Ru 0.0000 0.0000 0.0000  2 Au 2.59, 4 Sr 2.82
Sr 0.0000 0.5000 0.0000  2 Ru 2.82
Au 0.5000 0.0000 0.0000  2 Ru 2.59



11.
First-principles (PBEsol) data for an optimized crystal structure of SrZrH3, as listed in Alexandria via LeMat-Bulk.

Output
The total energy comes out at -4.467 eV per atom.

Lattice parameters (Å, degrees): 4.0468 4.0468 4.0468 90.00 90.00 90.00
Closest atoms and distances in Å follow each position.
Atoms (fractional coordinates):
H 0.0000 0.5000 0.0000  2 Zr 2.02
Zr 0.0000 0.0000 0.0000  6 H 2.02
Sr 0.5000 0.5000 0.5000  12 H 2.86
H 0.0000 0.0000 0.5000  2 Zr 2.02
H 0.5000 0.0000 0.0000  2 Zr 2.02



12.
First-principles (PBEsol) data for an optimized crystal structure of Zr2FeSb, as listed in Alexandria via LeMat-Bulk.

Output
Its uncorrected formation energy is -0.26 eV/atom.

Lattice parameters (Å, degrees): 3.0995 3.0995 7.8984 90.00 90.00 99.72
Closest atoms and distances in Å follow each position.
Atoms (fractional coordinates):
Fe 0.5000 0.5000 0.5000  8 Zr 2.57-2.87
Sb 0.5000 0.5000 0.0000  8 Zr 3.07-3.32, 4 Sb 3.10
Zr 0.0000 0.0000 0.2952  4 Fe 2.57-2.87
Zr 0.0000 0.0000 0.7048  4 Fe 2.57-2.87



13.
First-principles (PBEsol) data for an optimized crystal structure of MgTaAs, as listed in Alexandria via LeMat-Bulk.

Output
The value obtained for the energy above the most stable polymorph in this dataset is 0.1672 eV/atom. For the formation energy, the calculation gives 3.9 kJ per mole of atoms.

Lattice parameters (Å, degrees): 3.1023 3.1023 6.6310 90.00 90.00 120.00
Closest atoms and distances in Å follow each position.
Atoms (fractional coordinates):
As 0.0000 0.0000 0.0164  3 Ta 2.65, 3 Mg 2.90
Mg 0.3333 0.6667 0.6727  3 As 2.90, 3 Ta 2.99, 6 Mg 3.10
Ta 0.6667 0.3333 0.3109  3 As 2.65



14.
First-principles (PBEsol) data for an optimized crystal structure of InNiSe2, as listed in Alexandria via LeMat-Bulk.

Output
Its uncorrected formation energy is -0.07 eV/atom.

Lattice parameters (Å, degrees): 3.3838 3.6320 6.6973 105.73 104.63 90.00
Closest atoms and distances in Å follow each position.
Atoms (fractional coordinates):
Se 0.2709 0.7709 0.5418  4 Ni 2.59, 2 In 2.86
Ni 0.7124 0.2124 0.4247  6 Se 2.47-2.59
In 0.4489 0.4489 0.8979  6 Se 2.86-2.89
Se 0.0678 0.0678 0.1356  2 Ni 2.47



15.
First-principles (PBEsol) data for an optimized crystal structure of Sr2NiPb, as listed in Alexandria via LeMat-Bulk.

Output
For the formation energy, the calculation gives -0.8 kJ per mole of atoms.

Lattice parameters (Å, degrees): 3.6492 3.6492 8.9757 90.00 90.00 90.00
Closest atoms and distances in Å follow each position.
Atoms (fractional coordinates):
Sr 0.5000 0.5000 0.3233  1 Pb 3.18, 4 Ni 3.37
Sr 0.0000 0.0000 0.9339  1 Ni 3.31, 4 Pb 3.46, 4 Sr 3.65
Pb 0.5000 0.5000 0.6778  4 Ni 2.77
Ni 0.0000 0.0000 0.5651  4 Pb 2.77



16.
First-principles (PBEsol) data for an optimized crystal structure of Li2CePrMo4O16, as listed in Alexandria via LeMat-Bulk.

Output
Its uncorrected formation energy is -2.39 eV/atom.

Lattice parameters (Å, degrees): 5.2116 5.2116 11.2114 90.00 90.00 90.00
Closest atoms and distances in Å follow each position.
Atoms (fractional coordinates):
O 0.3491 0.7434 0.4142  1 Mo 1.78
Li 0.5000 0.0000 0.2374  8 O 2.31-2.52
O 0.8468 0.7368 0.3352  1 Mo 1.77
O 0.1532 0.2632 0.3352  1 Mo 1.77
O 0.8448 0.2464 0.9154  1 Mo 1.79
O 0.6568 0.7609 0.8397  1 Mo 1.78
O 0.6509 0.2566 0.4142  1 Mo 1.78
O 0.2464 0.1552 0.0846  1 Mo 1.79
Li 0.0000 0.5000 0.7626  8 O 2.31-2.52
O 0.2632 0.8468 0.6648  1 Mo 1.77
Pr 0.0000 0.0000 0.5000  8 O 2.44-2.45
Mo 0.5000 0.5000 0.5000  4 O 1.78
Mo 0.5000 0.0000 0.7523  4 O 1.77-1.78
O 0.7434 0.6509 0.5858  1 Mo 1.78
O 0.7536 0.8448 0.0846  1 Mo 1.79
Mo 0.0000 0.0000 0.0000  4 O 1.79
O 0.7609 0.3432 0.1603  1 Mo 1.78
O 0.2391 0.6568 0.1603  1 Mo 1.78
O 0.7368 0.1532 0.6648  1 Mo 1.77
O 0.2566 0.3491 0.5858  1 Mo 1.78
O 0.3432 0.2391 0.8397  1 Mo 1.78
O 0.1552 0.7536 0.9154  1 Mo 1.79
Mo 0.0000 0.5000 0.2477  4 O 1.77-1.78
Ce 0.5000 0.5000 0.0000  8 O 2.40-2.42



17.
First-principles (PBEsol) data for an optimized crystal structure of La2Co5Ni5, as listed in Alexandria via LeMat-Bulk.

Output
For the formation energy, the calculation gives -9.4 kJ per mole of atoms.

Lattice parameters (Å, degrees): 3.9330 4.9232 8.4587 90.00 90.00 90.00
Closest atoms and distances in Å follow each position.
Atoms (fractional coordinates):
Co 0.0000 0.0000 0.8343  6 Ni 2.41-2.43
Ni 0.5000 0.2498 0.2501  5 Co 2.43-2.45, 3 Ni 2.45-2.46
Co 0.0000 0.0000 0.1657  6 Ni 2.41-2.43
Ni 0.5000 0.7502 0.2501  5 Co 2.43-2.45, 3 Ni 2.45-2.46
Co 0.0000 0.5000 0.6588  2 Co 2.38, 4 Ni 2.44
Co 0.0000 0.5000 0.3412  2 Co 2.38, 4 Ni 2.44
La 0.0000 0.0000 0.5000  6 Co 2.80-2.83, 8 Ni 3.14
La 0.0000 0.5000 0.0000  6 Co 2.83-2.89, 12 Ni 3.14-3.15
Ni 0.5000 0.0000 0.0000  4 Co 2.41, 4 Ni 2.45
Ni 0.5000 0.2498 0.7499  5 Co 2.43-2.45, 3 Ni 2.45-2.46
Ni 0.5000 0.7502 0.7499  5 Co 2.43-2.45, 3 Ni 2.45-2.46
Co 0.5000 0.5000 0.5000  4 Co 2.38, 4 Ni 2.45



18.
First-principles (PBEsol) data for an optimized crystal structure of SrMg2Re, as listed in Alexandria via LeMat-Bulk.

Output
The value obtained for the energy above the most stable polymorph in this dataset is 0.2439 eV/atom. For the formation energy, the calculation gives 80.0 kJ per mole of atoms.

Lattice parameters (Å, degrees): 2.9505 5.4024 5.4342 90.00 90.00 90.00
Closest atoms and distances in Å follow each position.
Atoms (fractional coordinates):
Sr 0.0000 0.5000 0.5000  2 Sr 2.95, 4 Re 3.08, 4 Mg 3.09
Mg 0.0000 0.0000 0.0000  6 Mg 2.95-3.08, 4 Re 3.09
Mg 0.5000 0.5000 0.0000  6 Mg 2.95-3.08, 4 Sr 3.09
Re 0.5000 0.0000 0.5000  2 Re 2.95, 4 Sr 3.08, 4 Mg 3.09



19.
First-principles (PBEsol) data for an optimized crystal structure of MgAg, as listed in Alexandria via LeMat-Bulk.

Output
For the formation energy, the calculation gives -17.8 kJ per mole of atoms.

Lattice parameters (Å, degrees): 3.1805 5.2958 7.1381 108.71 90.00 107.47
Closest atoms and distances in Å follow each position.
Atoms (fractional coordinates):
Ag 0.3316 0.6632 0.6947  7 Mg 2.80-2.96, 2 Ag 2.92
Ag 0.0193 0.0385 0.0200  6 Mg 2.81-3.12, 4 Ag 2.91-2.92
Ag 0.3863 0.7725 0.2487  7 Mg 2.82-2.88, 2 Ag 2.91
Mg 0.6880 0.3759 0.3542  7 Ag 2.85-2.90, 5 Mg 3.14-3.18
Mg 0.7199 0.4399 0.9313  7 Ag 2.81-2.87, 3 Mg 3.06-3.14
Mg 0.0217 0.0433 0.5844  6 Ag 2.80-3.12, 2 Mg 3.06



20.
First-principles (PBEsol) data for an optimized crystal structure of YPbO2F, as listed in Alexandria via LeMat-Bulk.

Output
Its uncorrected formation energy is -2.45 eV/atom.

Lattice parameters (Å, degrees): 4.2280 4.3847 4.3847 90.00 90.00 90.00
Closest atoms and distances in Å follow each position.
Atoms (fractional coordinates):
O 0.0000 0.0000 0.5000  2 Y 2.19
O 0.0000 0.5000 0.0000  2 Y 2.19
Pb 0.5000 0.5000 0.5000  8 O 3.05, 4 F 3.10
Y 0.0000 0.0000 0.0000  2 F 2.11, 4 O 2.19
F 0.5000 0.0000 0.0000  2 Y 2.11